## CuC (PBE)

Data for a relaxed CuC crystal.

Properties
* ΔH_f (0 K): 1773 meV per atom
* final energy: -4.887 eV per atom

POSCAR file:
```
CuC
1.0
2.822 0.000 0.000
0.000 2.822 0.000
0.000 0.000 2.548
Cu C
1 1
direct
0.000 0.000 0.000
0.500 0.500 0.000
```

---

## TmSc2AlN (PBE)

Data for a relaxed TmSc2AlN crystal.

Properties
* final energy: -6.870 eV per atom
* uncorrected formation energy: -5.15 eV/f.u.

POSCAR file:
```
TmSc2AlN
1.0
4.448 0.000 0.000
0.000 4.448 0.000
0.000 0.000 4.650
Tm Sc Al N
1 2 1 1
direct
0.000 0.000 0.000
0.000 0.500 0.500
0.500 0.000 0.500
0.500 0.500 0.000
0.000 0.000 0.500
```

---

## Li3PaBr2Cl6 (PBE)

Data for a relaxed Li3PaBr2Cl6 crystal.

Properties
* final energy: -4.164 eV per atom
* uncorrected formation energy: -20.31 eV/f.u.

POSCAR file:
```
Li3PaBr2Cl6
1.0
7.123 -3.855 0.000
7.123 3.855 0.000
-1.901 0.000 6.341
Li Pa Br Cl
3 1 2 6
direct
0.000 0.000 0.000
0.000 0.500 0.500
0.500 0.000 0.500
0.500 0.500 0.500
0.156 0.156 0.277
0.844 0.844 0.723
0.165 0.633 0.262
0.367 0.835 0.738
0.374 0.374 0.716
0.626 0.626 0.284
0.633 0.165 0.262
0.835 0.367 0.738
```

---

## TiZnHPd2 (PBE)

Data for a relaxed TiZnHPd2 crystal.

Properties
* final energy: -4.884 eV per atom

POSCAR file:
```
TiZnHPd2
1.0
3.979 0.000 0.000
0.000 3.979 0.000
0.000 0.000 4.029
Ti Zn H Pd
1 1 1 2
direct
0.000 0.000 0.000
0.500 0.500 0.000
0.000 0.000 0.500
0.000 0.500 0.500
0.500 0.000 0.500
```

---

## TiTe4Se2 (PBE)

Data for a relaxed TiTe4Se2 crystal.

Properties
* final energy: -3.777 eV per atom
* uncorrected formation energy: 0.99 eV/f.u.

POSCAR file:
```
TiTe4Se2
1.0
-2.604 2.604 8.504
2.604 -2.604 8.504
2.604 2.604 -8.504
Ti Te Se
1 4 2
direct
0.000 0.000 0.000
0.000 0.500 0.500
0.173 0.173 0.000
0.500 0.000 0.500
0.827 0.827 0.000
0.315 0.315 0.000
0.685 0.685 0.000
```

---

## Al2TeAs (PBE)

Data for a relaxed Al2TeAs crystal.

Properties
* final energy: -3.665 eV per atom
* uncorrected formation energy: 0.62 eV/f.u.

POSCAR file:
```
Al2TeAs
1.0
3.536 0.000 0.000
0.000 3.536 0.000
0.000 0.000 6.595
Al Te As
2 1 1
direct
0.000 0.000 0.214
0.000 0.000 0.786
0.500 0.500 0.500
0.500 0.500 0.000
```

---

## RbZnAgF4 (PBE)

Data for a relaxed RbZnAgF4 crystal.

Properties
* final energy: -3.829 eV per atom
* uncorrected formation energy: -14.22 eV/f.u.

POSCAR file:
```
RbZnAgF4
1.0
5.151 0.000 0.000
0.000 6.193 0.000
-1.472 0.000 7.746
Rb Zn Ag F
2 2 2 8
direct
0.178 0.250 0.109
0.822 0.750 0.891
0.402 0.250 0.719
0.598 0.750 0.281
0.200 0.750 0.549
0.800 0.250 0.451
0.214 0.750 0.250
0.286 0.250 0.468
0.297 0.517 0.809
0.297 0.983 0.809
0.703 0.017 0.191
0.703 0.483 0.191
0.714 0.750 0.532
0.786 0.250 0.750
```

---

## Ac5S5N2 (PBE)

Data for a relaxed Ac5S5N2 crystal.

Properties
* final energy: -6.582 eV per atom
* uncorrected formation energy: -21.15 eV/f.u.

POSCAR file:
```
Ac5S5N2
1.0
6.869 -2.085 0.000
6.869 2.085 0.000
-3.145 0.000 11.057
Ac S N
5 5 2
direct
0.000 0.000 0.000
0.105 0.105 0.384
0.338 0.338 0.197
0.662 0.662 0.803
0.895 0.895 0.616
0.246 0.246 0.639
0.338 0.338 0.937
0.500 0.500 0.500
0.662 0.662 0.063
0.754 0.754 0.361
0.042 0.042 0.801
0.958 0.958 0.199
```

---

## Nd12OsPb6 (PBE)

Data for a relaxed Nd12OsPb6 crystal.

Properties
* ΔH_f (0 K): -300 meV per atom
* final energy: -5.073 eV per atom

POSCAR file:
```
Nd12OsPb6
1.0
6.265 3.617 4.851
-6.265 3.617 4.851
0.000 -7.235 4.851
Nd Os Pb
12 1 6
direct
0.044 0.920 0.693
0.080 0.307 0.956
0.200 0.420 0.553
0.307 0.956 0.080
0.420 0.553 0.200
0.447 0.800 0.580
0.553 0.200 0.420
0.580 0.447 0.800
0.693 0.044 0.920
0.800 0.580 0.447
0.920 0.693 0.044
0.956 0.080 0.307
0.000 0.000 0.000
0.136 0.738 0.363
0.262 0.637 0.864
0.363 0.136 0.738
0.637 0.864 0.262
0.738 0.363 0.136
0.864 0.262 0.637
```

---

## SmMgScAg (PBE)

Data for a relaxed SmMgScAg crystal.

Properties
* ΔH_f (0 K): -151 meV per atom
* final energy: -4.025 eV per atom

POSCAR file:
```
SmMgScAg
1.0
3.660 0.000 0.000
0.000 3.660 0.000
0.000 0.000 7.203
Sm Mg Sc Ag
1 1 1 1
direct
0.000 0.000 0.000
0.500 0.500 0.716
0.000 0.000 0.482
0.500 0.500 0.273
```

---

## H2SeF6 (PBE)

Data for a relaxed H2SeF6 crystal.

Properties
* final energy: -3.989 eV per atom

POSCAR file:
```
H2SeF6
1.0
5.065 -5.147 0.000
5.065 5.147 0.000
-1.217 0.000 4.559
H Se F
4 2 12
direct
0.135 0.154 0.477
0.154 0.135 0.977
0.846 0.865 0.023
0.865 0.846 0.523
0.366 0.634 0.750
0.634 0.366 0.250
0.097 0.194 0.665
0.148 0.643 0.854
0.194 0.097 0.165
0.251 0.518 0.377
0.357 0.852 0.646
0.482 0.749 0.123
0.518 0.251 0.877
0.643 0.148 0.354
0.749 0.482 0.623
0.806 0.903 0.835
0.852 0.357 0.146
0.903 0.806 0.335
```

---

## RbZn4Pb3O12 (PBE)

Data for a relaxed RbZn4Pb3O12 crystal.

Properties
* final energy: -4.676 eV per atom
* uncorrected formation energy: -16.83 eV/f.u.

POSCAR file:
```
RbZn4Pb3O12
1.0
6.013 3.471 2.439
-6.013 3.471 2.439
0.000 -6.943 2.439
Rb Zn Pb O
1 4 3 12
direct
0.000 0.000 0.000
0.058 0.500 0.942
0.500 0.500 0.500
0.500 0.942 0.058
0.942 0.058 0.500
0.000 0.550 0.450
0.450 0.000 0.550
0.550 0.450 0.000
0.103 0.897 0.500
0.112 0.672 0.795
0.205 0.328 0.888
0.328 0.888 0.205
0.343 0.657 0.500
0.500 0.103 0.897
0.500 0.343 0.657
0.657 0.500 0.343
0.672 0.795 0.112
0.795 0.112 0.672
0.888 0.205 0.328
0.897 0.500 0.103
```

---

Q: Which value of final energy does entry 6 give?
A: -3.665 eV per atom

---

Q: Look up the final energy of the sixth one.
A: -3.665 eV per atom